1.
A plane-wave DFT calculation with PBE-GGA was carried out for NbVN after structural relaxation.

Properties
- Crystal system: tetragonal
- N(E_F): 1.09 states/eV/cell
- Magnetic moment: 0.00 μB per formula unit
- E_form (uncorrected): -0.283 eV per atom
- Calculated total energy: -28.36 eV/f.u.
- Space group: I4mm, No. 107

Geometry as extended XYZ:
```
3
Lattice="-1.339 1.339 4.934 1.339 -1.339 4.934 1.339 1.339 -4.934" Properties=species:S:1:pos:R:3 pbc="T T T"
Nb 0.000 0.000 0.000
V 0.000 0.000 2.654
N 0.000 0.000 6.686
```

=====

2.
A plane-wave DFT calculation with PBE-GGA was carried out for La2LuTi after structural relaxation.

Properties
- Crystal system: tetragonal
- N(E_F): 5.58 states/eV/cell
- Magnetic moment: 1.05 μB per formula unit
- Calculated total energy: -21.48 eV/f.u.
- Calculated formation energy: 0.1984 eV/atom
- Space group: P4/mmm, No. 123

Geometry as extended XYZ:
```
4
Lattice="3.718 0.000 0.000 0.000 3.718 0.000 0.000 0.000 8.584" Properties=species:S:1:pos:R:3 pbc="T T T"
La 0.000 0.000 1.917
La 0.000 0.000 6.667
Lu 1.859 1.859 4.292
Ti 1.859 1.859 0.000
```

=====

3.
A plane-wave DFT calculation with PBE-GGA was carried out for SrTeI2O after structural relaxation.

Properties
- Crystal system: tetragonal
- N(E_F): 3.61 states/eV/cell
- Magnetic moment: 0.07 μB per formula unit
- Polymorph energy (0 for the lowest one): 284 meV/atom
- E_form (uncorrected): -0.403 eV per atom
- Calculated total energy: -14.90 eV/f.u.
- Space group: P4/mmm, No. 123

Geometry as extended XYZ:
```
5
Lattice="6.440 0.000 0.000 0.000 6.440 0.000 0.000 0.000 4.242" Properties=species:S:1:pos:R:3 pbc="T T T"
Sr 0.000 0.000 0.000
Te 3.220 3.220 2.121
I 0.000 3.220 0.000
I 3.220 0.000 0.000
O 0.000 0.000 2.121
```

=====

4.
A plane-wave DFT calculation with PBE-GGA was carried out for MgMn2Tc after structural relaxation.

Properties
- Crystal system: cubic
- N(E_F): 1.18 states/eV/cell
- Magnetic moment: 4.98 μB per formula unit
- Calculated total energy: -29.19 eV/f.u.
- Calculated formation energy: 0.2784 eV/atom
- Space group: F-43m, No. 216

Geometry as extended XYZ:
```
4
Lattice="0.000 3.046 3.046 3.046 0.000 3.046 3.046 3.046 0.000" Properties=species:S:1:pos:R:3 pbc="T T T"
Mg 0.000 0.000 0.000
Mn 1.523 1.523 1.523
Mn 3.046 3.046 3.046
Tc 4.569 4.569 4.569
```

=====

5.
A plane-wave DFT calculation with PBE-GGA was carried out for Ca2NbH after structural relaxation.

Properties
- Crystal system: trigonal
- N(E_F): 5.01 states/eV/cell
- Magnetic moment: 0.35 μB per formula unit
- Polymorph energy (0 for the lowest one): 0 meV/atom
- Calculated total energy: -15.22 eV/f.u.
- Space group: R-3m, No. 166

Geometry as extended XYZ:
```
4
Lattice="1.618 0.934 9.076 -1.618 0.934 9.076 0.000 -1.868 9.076" Properties=species:S:1:pos:R:3 pbc="T T T"
Ca 0.000 0.000 3.004
Ca 0.000 0.000 24.225
Nb 0.000 0.000 0.000
H 0.000 0.000 13.614
```

=====

6.
A plane-wave DFT calculation with PBE-GGA was carried out for InSb2Pb after structural relaxation.

Properties
- Crystal system: orthorhombic
- N(E_F): 2.00 states/eV/cell
- Magnetic moment: 0.00 μB per formula unit
- Polymorph energy (0 for the lowest one): 83 meV/atom
- E_form (uncorrected): 0.133 eV per atom
- Calculated total energy: -14.16 eV/f.u.
- Space group: Cmm2, No. 35

Geometry as extended XYZ:
```
4
Lattice="1.889 -2.753 0.000 1.889 2.753 0.000 0.000 0.000 10.929" Properties=species:S:1:pos:R:3 pbc="T T T"
In 0.000 0.000 0.000
Sb 0.000 0.000 5.310
Sb 1.889 0.000 2.615
Pb 1.889 0.000 8.055
```

=====

7.
A plane-wave DFT calculation with PBE-GGA was carried out for FeSiTe2 after structural relaxation.

Properties
- Crystal system: trigonal
- N(E_F): 1.35 states/eV/cell
- Magnetic moment: 2.06 μB per formula unit
- E_form (uncorrected): 0.156 eV per atom
- Calculated total energy: -19.54 eV/f.u.
- Space group: R3m, No. 160

Geometry as extended XYZ:
```
4
Lattice="1.689 0.975 9.223 -1.689 0.975 9.223 0.000 -1.950 9.223" Properties=species:S:1:pos:R:3 pbc="T T T"
Fe 0.000 0.000 0.000
Si 0.000 0.000 20.004
Te 0.000 0.000 7.517
Te 0.000 0.000 12.771
```

=====

8.
A plane-wave DFT calculation with PBE-GGA was carried out for CeAgSO5 after structural relaxation.

Properties
- Crystal system: monoclinic
- N(E_F): 10.94 states/eV/cell
- Magnetic moment: 0.93 μB per formula unit
- E_form (uncorrected): -1.781 eV per atom
- Calculated total energy: -51.95 eV/f.u.
- Space group: C2/c, No. 15

Geometry as extended XYZ:
```
16
Lattice="4.145 -4.552 0.000 4.145 4.552 0.000 -4.113 0.000 7.340" Properties=species:S:1:pos:R:3 pbc="T T T"
Ce 0.000 0.000 0.000
Ce -2.056 0.000 3.670
Ag 1.060 1.679 5.505
Ag 3.116 -1.679 1.835
S 3.116 1.404 1.835
S 1.060 -1.404 5.505
O 1.060 3.815 5.505
O 2.306 2.249 2.748
O 2.220 0.498 1.041
O 3.926 2.249 0.921
O 0.164 -0.498 4.711
O 4.012 0.498 2.629
O 0.250 -2.249 6.418
O 1.956 -0.498 6.298
O 1.870 -2.249 4.591
O 3.116 -3.815 1.835
```